[1]
Computed, not measured: a relaxed VRuI2 crystal at the PBE level of DFT.

The space group is I-42d (No. 122) and the conventional cell measures 6.092, 6.092 and 12.596 Å, with angles of 90.00, 90.00 and 90.00 degrees. Symmetry generates all atoms from V at (0.000, 0.000, 0.000), Ru at (0.000, 0.000, 0.500) and I at (0.246, 0.250, 0.625).

As for the relative energy among the computed polymorphs: 0 meV per atom. For the total energy, the calculation gives -74.8 eV/cell. As for the uncorrected formation energy: 701 meV per atom.

=====

[2]
Computed, not measured: a relaxed V2ZnRuI crystal at the PBE level of DFT.

The space group is P4/mmm (No. 123) and the conventional cell measures 4.480, 4.480 and 5.024 Å, with angles of 90.00, 90.00 and 90.00 degrees. Symmetry generates all atoms from V at (0.000, 0.500, 0.000), Zn at (0.000, 0.000, 0.000), Ru at (0.500, 0.500, 0.500) and I at (0.000, 0.000, 0.500).

For the total energy, the calculation gives -20.7 eV/cell. As for the uncorrected formation energy: 1925 meV per atom.

=====

[3]
Computed, not measured: a relaxed ZrVRuI2 crystal at the PBE level of DFT.

The space group is P4/mmm (No. 123) and the conventional cell measures 5.626, 5.626 and 4.828 Å, with angles of 90.00, 90.00 and 90.00 degrees. Symmetry generates all atoms from Zr at (0.000, 0.000, 0.000), V at (0.500, 0.500, 0.500), Ru at (0.000, 0.000, 0.500) and I at (0.000, 0.500, 0.000).

For the total energy, the calculation gives -23.4 eV/cell. As for the uncorrected formation energy: 1332 meV per atom.

=====

[4]
Computed, not measured: a relaxed RuWI2 crystal at the PBE level of DFT.

The space group is I-42d (No. 122) and the conventional cell measures 6.045, 6.045 and 11.782 Å, with angles of 90.00, 90.00 and 90.00 degrees. Symmetry generates all atoms from Ru at (0.000, 0.000, 0.000), W at (0.000, 0.000, 0.500) and I at (0.244, 0.250, 0.125).

As for the relative energy among the computed polymorphs: 75 meV per atom. For the total energy, the calculation gives -78.8 eV/cell. As for the uncorrected formation energy: 1409 meV per atom.

=====

[5]
Computed, not measured: a relaxed RuW2I crystal at the PBE level of DFT.

The space group is Fm-3m (No. 225) and the conventional cell measures 6.462, 6.462 and 6.462 Å, with angles of 90.00, 90.00 and 90.00 degrees. Symmetry generates all atoms from Ru at (0.000, 0.000, 0.000), W at (0.250, 0.250, 0.250) and I at (0.000, 0.000, 0.500).

As for the relative energy among the computed polymorphs: 0 meV per atom. For the total energy, the calculation gives -128.9 eV/cell. As for the uncorrected formation energy: 1129 meV per atom.

=====

[6]
Computed, not measured: a relaxed RuWI3 crystal at the PBE level of DFT.

The space group is Pm-3m (No. 221) and the conventional cell measures 5.355, 5.355 and 5.355 Å, with angles of 90.00, 90.00 and 90.00 degrees. Symmetry generates all atoms from Ru at (0.000, 0.000, 0.000), W at (0.500, 0.500, 0.500) and I at (0.000, 0.000, 0.500).

For the total energy, the calculation gives -19.4 eV/cell. As for the uncorrected formation energy: 1504 meV per atom.

=====

[7]
Computed, not measured: a relaxed RuW2I crystal at the PBE level of DFT.

The space group is I-42d (No. 122) and the conventional cell measures 5.888, 5.888 and 11.625 Å, with angles of 90.00, 90.00 and 90.00 degrees. Symmetry generates all atoms from Ru at (0.000, 0.000, 0.000), W at (0.209, 0.250, 0.125) and I at (0.000, 0.000, 0.500).

As for the relative energy among the computed polymorphs: 513 meV per atom. For the total energy, the calculation gives -120.6 eV/cell. As for the uncorrected formation energy: 1642 meV per atom.

=====

[8]
Computed, not measured: a relaxed RuWI2 crystal at the PBE level of DFT.

The space group is Fm-3m (No. 225) and the conventional cell measures 6.766, 6.766 and 6.766 Å, with angles of 90.00, 90.00 and 90.00 degrees. Symmetry generates all atoms from Ru at (0.000, 0.000, 0.000), W at (0.000, 0.000, 0.500) and I at (0.250, 0.250, 0.250).

As for the relative energy among the computed polymorphs: 0 meV per atom. For the total energy, the calculation gives -80.0 eV/cell. As for the uncorrected formation energy: 1334 meV per atom.

=====

[9]
Computed, not measured: a relaxed Ru2WI crystal at the PBE level of DFT.

The space group is Fm-3m (No. 225) and the conventional cell measures 6.489, 6.489 and 6.489 Å, with angles of 90.00, 90.00 and 90.00 degrees. Symmetry generates all atoms from Ru at (0.250, 0.250, 0.250), W at (0.000, 0.000, 0.000) and I at (0.000, 0.000, 0.500).

As for the relative energy among the computed polymorphs: 123 meV per atom. For the total energy, the calculation gives -113.8 eV/cell. As for the uncorrected formation energy: 1154 meV per atom.

=====

[10]
Computed, not measured: a relaxed Ru2WI crystal at the PBE level of DFT.

The space group is I-42d (No. 122) and the conventional cell measures 5.856, 5.856 and 11.265 Å, with angles of 90.00, 90.00 and 90.00 degrees. Symmetry generates all atoms from Ru at (0.221, 0.250, 0.125), W at (0.000, 0.000, 0.000) and I at (0.000, 0.000, 0.500).

As for the relative energy among the computed polymorphs: 0 meV per atom. For the total energy, the calculation gives -115.7 eV/cell. As for the uncorrected formation energy: 1031 meV per atom.

=====

[11]
Computed, not measured: a relaxed YRuI2 crystal at the PBE level of DFT.

The space group is Fm-3m (No. 225) and the conventional cell measures 7.280, 7.280 and 7.280 Å, with angles of 90.00, 90.00 and 90.00 degrees. Symmetry generates all atoms from Y at (0.000, 0.000, 0.000), Ru at (0.000, 0.000, 0.500) and I at (0.250, 0.250, 0.250).

As for the relative energy among the computed polymorphs: 20 meV per atom. For the total energy, the calculation gives -73.8 eV/cell. As for the uncorrected formation energy: 99 meV per atom.

=====

[12]
Computed, not measured: a relaxed YRu2I crystal at the PBE level of DFT.

The space group is Fm-3m (No. 225) and the conventional cell measures 6.728, 6.728 and 6.728 Å, with angles of 90.00, 90.00 and 90.00 degrees. Symmetry generates all atoms from Y at (0.000, 0.000, 0.000), Ru at (0.250, 0.250, 0.250) and I at (0.000, 0.000, 0.500).

As for the relative energy among the computed polymorphs: 0 meV per atom. For the total energy, the calculation gives -100.1 eV/cell. As for the uncorrected formation energy: 388 meV per atom.

=====

Q: Which value of uncorrected formation energy does entry 11 give?
A: 99 meV per atom